# Rb3CuBr6

An optimized crystal structure of Rb3CuBr6 (PBE, Alexandria).

Geometry as POSCAR:
```
Rb3CuBr6
1.0
7.3441 -9.5489 0.0000
7.3441 9.5489 0.0000
0.0000 0.0000 5.9648
Rb Cu Br
6 2 12
Direct
0.1161 0.8839 0.5000 Rb
0.1962 0.4396 0.4743 Rb
0.4396 0.1962 0.9743 Rb
0.5604 0.8038 0.4743 Rb
0.8038 0.5604 0.9743 Rb
0.8839 0.1161 0.0000 Rb
0.2919 0.7081 0.9002 Cu
0.7081 0.2919 0.4002 Cu
0.0902 0.6297 0.8057 Br
0.1628 0.1656 0.7334 Br
0.1656 0.1628 0.2334 Br
0.2838 0.7162 0.2999 Br
0.3703 0.9098 0.8057 Br
0.4172 0.5828 0.8411 Br
0.5828 0.4172 0.3411 Br
0.6297 0.0902 0.3057 Br
0.7162 0.2838 0.7999 Br
0.8344 0.8372 0.7334 Br
0.8372 0.8344 0.2334 Br
0.9098 0.3703 0.3057 Br
```

## Properties
**Total moment**: 0.108 μB per atom
**Relative energy among the computed polymorphs**: 0.0000 eV/atom
**Formation energy (no corrections)**: -1100.3 meV per atom

---

# RbCu6Br8

An optimized crystal structure of RbCu6Br8 (PBE, Alexandria).

Geometry as POSCAR:
```
RbCu6Br8
1.0
5.4141 3.1259 3.7665
-5.4141 3.1259 3.7665
0.0000 -6.2517 3.7665
Rb Cu Br
1 6 8
Direct
0.0000 0.0000 0.0000 Rb
0.2454 0.3558 0.6468 Cu
0.3532 0.7546 0.6442 Cu
0.3558 0.6468 0.2454 Cu
0.6442 0.3532 0.7546 Cu
0.6468 0.2454 0.3558 Cu
0.7546 0.6442 0.3532 Cu
0.1034 0.7793 0.4040 Br
0.2207 0.5960 0.8966 Br
0.3280 0.3280 0.3280 Br
0.4040 0.1034 0.7793 Br
0.5960 0.8966 0.2207 Br
0.6720 0.6720 0.6720 Br
0.7793 0.4040 0.1034 Br
0.8966 0.2207 0.5960 Br
```

## Properties
**Total moment**: 0.000 μB per atom
**Relative energy among the computed polymorphs**: 0.0000 eV/atom
**Formation energy (no corrections)**: -467.7 meV per atom

---

# Rb3CuBr4

An optimized crystal structure of Rb3CuBr4 (PBE, Alexandria).

Geometry as POSCAR:
```
Rb3CuBr4
1.0
13.4944 0.0000 0.0000
0.0000 10.5432 0.0000
0.0000 0.0000 4.9441
Rb Cu Br
6 2 8
Direct
0.0000 0.1248 0.0000 Rb
0.1630 0.6693 0.4375 Rb
0.3370 0.3307 0.9375 Rb
0.5000 0.8752 0.5000 Rb
0.6630 0.3307 0.9375 Rb
0.8370 0.6693 0.4375 Rb
0.0000 0.3903 0.5756 Cu
0.5000 0.6097 0.0756 Cu
0.0000 0.5515 0.9192 Br
0.0000 0.9093 0.4925 Br
0.1566 0.3044 0.4494 Br
0.3434 0.6956 0.9494 Br
0.5000 0.0907 0.9925 Br
0.5000 0.4485 0.4192 Br
0.6566 0.6956 0.9494 Br
0.8434 0.3044 0.4494 Br
```

## Properties
**Total moment**: 0.015 μB per atom
**Relative energy among the computed polymorphs**: 0.0000 eV/atom
**Formation energy (no corrections)**: -1331.2 meV per atom

---

# RbCu2Br8

An optimized crystal structure of RbCu2Br8 (PBE, Alexandria).

Geometry as POSCAR:
```
RbCu2Br8
1.0
3.9221 -7.7708 0.0000
3.9221 7.7708 0.0000
-0.0940 0.0000 5.2468
Rb Cu Br
1 2 8
Direct
0.0000 0.0000 0.0000 Rb
0.2522 0.7478 0.5000 Cu
0.7478 0.2522 0.5000 Cu
0.0977 0.3778 0.4831 Br
0.2400 0.7600 0.0000 Br
0.3778 0.0977 0.4831 Br
0.4130 0.4130 0.8125 Br
0.5870 0.5870 0.1875 Br
0.6222 0.9023 0.5169 Br
0.7600 0.2400 0.0000 Br
0.9023 0.6222 0.5169 Br
```

## Properties
**Total moment**: 0.000 μB per atom
**Formation energy (no corrections)**: -323.6 meV per atom

---

# RbCu2Br3

An optimized crystal structure of RbCu2Br3 (PBE, Alexandria).

Geometry as POSCAR:
```
RbCu2Br3
1.0
5.1678 -6.6280 0.0000
5.1678 6.6280 0.0000
0.0000 0.0000 5.2375
Rb Cu Br
2 4 6
Direct
0.2061 0.7939 0.7500 Rb
0.7939 0.2061 0.2500 Rb
0.3277 0.3277 0.0000 Cu
0.3277 0.3277 0.5000 Cu
0.6723 0.6723 0.0000 Cu
0.6723 0.6723 0.5000 Cu
0.0854 0.3372 0.7500 Br
0.3372 0.0854 0.2500 Br
0.3959 0.6041 0.2500 Br
0.6041 0.3959 0.7500 Br
0.6628 0.9146 0.7500 Br
0.9146 0.6628 0.2500 Br
```

## Properties
**Total moment**: 0.000 μB per atom
**Formation energy (no corrections)**: -768.1 meV per atom

---

# Rb2Cu3Br9

An optimized crystal structure of Rb2Cu3Br9 (PBE, Alexandria).

Geometry as POSCAR:
```
Rb2Cu3Br9
1.0
5.8463 -8.8235 0.0000
5.8463 8.8235 0.0000
-5.1091 0.0000 9.5698
Rb Cu Br
4 6 18
Direct
0.0798 0.7563 0.6975 Rb
0.2437 0.9202 0.3025 Rb
0.7563 0.0798 0.6975 Rb
0.9202 0.2437 0.3025 Rb
0.2190 0.4465 0.8216 Cu
0.3612 0.3612 0.1551 Cu
0.4465 0.2190 0.8216 Cu
0.5535 0.7810 0.1784 Cu
0.6388 0.6388 0.8449 Cu
0.7810 0.5535 0.1784 Cu
0.0267 0.6079 0.3471 Br
0.1369 0.3360 0.9794 Br
0.2094 0.2094 0.6918 Br
0.2303 0.2303 0.2794 Br
0.3008 0.6992 0.0000 Br
0.3360 0.1369 0.9794 Br
0.3769 0.5717 0.7133 Br
0.3921 0.9733 0.6529 Br
0.4283 0.6231 0.2867 Br
0.5717 0.3769 0.7133 Br
0.6079 0.0267 0.3471 Br
0.6231 0.4283 0.2867 Br
0.6640 0.8631 0.0206 Br
0.6992 0.3008 0.0000 Br
0.7697 0.7697 0.7206 Br
0.7906 0.7906 0.3082 Br
0.8631 0.6640 0.0206 Br
0.9733 0.3921 0.6529 Br
```

## Properties
**Total moment**: 0.142 μB per atom
**Formation energy (no corrections)**: -620.4 meV per atom

---

# Rb3Cu2Br9

An optimized crystal structure of Rb3Cu2Br9 (PBE, Alexandria).

Geometry as POSCAR:
```
Rb3Cu2Br9
1.0
7.3301 0.0000 0.0000
-3.6650 6.3480 0.0000
0.0000 0.0000 9.2301
Rb Cu Br
3 2 9
Direct
0.0000 0.0000 0.0000 Rb
0.3333 0.6667 0.3433 Rb
0.6667 0.3333 0.6567 Rb
0.3333 0.6667 0.8306 Cu
0.6667 0.3333 0.1694 Cu
0.0000 0.5000 0.0000 Br
0.1704 0.3409 0.6827 Br
0.1704 0.8296 0.6827 Br
0.3409 0.1704 0.3173 Br
0.5000 0.0000 0.0000 Br
0.5000 0.5000 0.0000 Br
0.6591 0.8296 0.6827 Br
0.8296 0.1704 0.3173 Br
0.8296 0.6591 0.3173 Br
```

## Properties
**Total moment**: 0.000 μB per atom
**Formation energy (no corrections)**: -828.3 meV per atom

---

# RbCuBr3

An optimized crystal structure of RbCuBr3 (PBE, Alexandria).

Geometry as POSCAR:
```
RbCuBr3
1.0
6.2176 0.0000 0.0000
0.0000 6.2176 0.0000
0.0000 0.0000 6.2176
Rb Cu Br
1 1 3
Direct
0.0000 0.0000 0.0000 Rb
0.5000 0.5000 0.5000 Cu
0.0000 0.0000 0.5000 Br
0.0000 0.5000 0.0000 Br
0.5000 0.0000 0.0000 Br
```

## Properties
**Total moment**: 0.200 μB per atom
**Formation energy (no corrections)**: 222.1 meV per atom

---

# RbCuBr4

An optimized crystal structure of RbCuBr4 (PBE, Alexandria).

Geometry as POSCAR:
```
RbCuBr4
1.0
10.2477 0.0000 0.0000
0.0000 10.5060 0.0000
0.0000 0.0000 4.0494
Rb Cu Br
2 2 8
Direct
0.0000 0.0000 0.0000 Rb
0.5000 0.5000 0.0000 Rb
0.0000 0.5000 0.5000 Cu
0.5000 0.0000 0.5000 Cu
0.0000 0.3356 0.0000 Br
0.0000 0.6644 0.0000 Br
0.2373 0.5000 0.5000 Br
0.2627 0.0000 0.5000 Br
0.5000 0.1644 0.0000 Br
0.5000 0.8356 0.0000 Br
0.7373 0.0000 0.5000 Br
0.7627 0.5000 0.5000 Br
```

## Properties
**Total moment**: 0.351 μB per atom
**Formation energy (no corrections)**: -522.6 meV per atom

---

# Rb2CuReBr6

An optimized crystal structure of Rb2CuReBr6 (PBE, Alexandria).

Geometry as POSCAR:
```
Rb2CuReBr6
1.0
0.0000 5.2997 5.2997
5.2997 0.0000 5.2997
5.2997 5.2997 0.0000
Rb Cu Re Br
2 1 1 6
Direct
0.2500 0.2500 0.2500 Rb
0.7500 0.7500 0.7500 Rb
0.0000 0.0000 0.0000 Cu
0.5000 0.5000 0.5000 Re
0.2554 0.2554 0.7446 Br
0.2554 0.7446 0.2554 Br
0.2554 0.7446 0.7446 Br
0.7446 0.2554 0.2554 Br
0.7446 0.2554 0.7446 Br
0.7446 0.7446 0.2554 Br
```

## Properties
**Total moment**: 0.258 μB per atom
**Formation energy (no corrections)**: -695.9 meV per atom

---

# RbCuRhBr6

An optimized crystal structure of RbCuRhBr6 (PBE, Alexandria).

Geometry as POSCAR:
```
RbCuRhBr6
1.0
6.6735 0.0000 0.0000
-3.3367 5.7794 0.0000
0.0000 0.0000 7.8190
Rb Cu Rh Br
1 1 1 6
Direct
0.0000 0.0000 0.0000 Rb
0.3333 0.6667 0.5000 Cu
0.6667 0.3333 0.5000 Rh
0.3723 0.0108 0.6827 Br
0.3723 0.3615 0.3173 Br
0.6385 0.0108 0.3173 Br
0.6385 0.6277 0.6827 Br
0.9892 0.3615 0.6827 Br
0.9892 0.6277 0.3173 Br
```

## Properties
**Total moment**: 0.123 μB per atom
**Formation energy (no corrections)**: -628.3 meV per atom

---

# RbCu2RuBr8

An optimized crystal structure of RbCu2RuBr8 (PBE, Alexandria).

Geometry as POSCAR:
```
RbCu2RuBr8
1.0
6.5143 0.0000 0.0000
0.0010 7.2768 0.0000
1.0460 2.2467 8.2724
Rb Cu Ru Br
1 2 1 8
Direct
0.0000 0.0000 0.0000 Rb
0.4737 0.5278 0.8141 Cu
0.5263 0.4722 0.1859 Cu
0.0000 0.5000 0.5000 Ru
0.1015 0.5004 0.7747 Br
0.1757 0.8149 0.3837 Br
0.3272 0.3315 0.4404 Br
0.4944 0.7602 0.9750 Br
0.5056 0.2398 0.0250 Br
0.6728 0.6685 0.5596 Br
0.8243 0.1851 0.6163 Br
0.8985 0.4996 0.2253 Br
```

## Properties
**Total moment**: 0.251 μB per atom
**Formation energy (no corrections)**: -518.8 meV per atom

---

no.,calculated density (g cm⁻³),V (Å³/f.u.)
1,3.17,418.3
2,4.80,382.5
3,3.02,351.7
4,4.42,319.8
5,4.19,179.4
6,3.64,493.7
7,4.26,429.5
8,2.69,240.4
9,3.57,218.0
10,5.02,297.7
11,4.03,301.6
12,4.03,392.1